# K2IrRu

A geometry-optimized K2IrRu structure (PBE, Alexandria).

Calculated values
space group = C2/m, No. 12
energy relative to the elements = 4.185 eV/f.u.
offset from the most stable computed form = 2.210 eV/f.u.
VASP energy = -4.037 eV per atom

abc: 6.298 4.951 2.810
angles: 86.91 78.35 112.40
Fractional coordinates of all 4 atoms:
K1 0.000 0.500 0.500
Ru1 0.500 0.500 0.000
K2 0.000 0.000 0.000
Ir1 0.500 0.000 0.500